No. 1
The following is a DFT calculation (GGA-PBE) of crystalline Ho3Cd3Ag at its relaxed geometry.

Output
M_tot   0.000 μB/atom
Calculated density   8.98 Mg/m³
Formation energy   -0.261 eV/atom
E_tot   -3.02 eV/atom
Crystal system   orthorhombic
Space group   No. 44

abc: 4.913 3.432 10.732
angles: 99.20 103.23 90.00
Fractional positions:
1 Cd 0.567 0.567 0.134
2 Cd 0.144 0.644 0.288
3 Cd 0.857 0.357 0.715
4 Ho 0.995 0.995 0.990
5 Ho 0.303 0.803 0.607
6 Ho 0.701 0.201 0.403
7 Ag 0.432 0.432 0.864

No. 2
The following is a DFT calculation (GGA-PBE) of crystalline Tm2BC3 at its relaxed geometry.

Output
M_tot   0.000 μB/atom
Calculated density   9.30 Mg/m³
Formation energy   -0.193 eV/atom
E_tot   -7.41 eV/atom
Crystal system   orthorhombic
Space group   No. 69

abc: 5.063 5.063 6.352
angles: 110.24 110.24 97.58
Fractional positions:
1 C 0.199 0.199 0.397
2 C 0.262 0.604 0.866
3 C 0.738 0.396 0.134
4 C 0.604 0.262 0.866
5 C 0.396 0.738 0.134
6 C 0.801 0.801 0.603
7 B 0.660 0.660 0.320
8 B 0.340 0.340 0.680
9 Tm 0.250 0.750 0.500
10 Tm 0.750 0.250 0.500
11 Tm 0.787 0.787 0.000
12 Tm 0.213 0.213 0.000